[1]
## BaCr2CuO8 (GGA+U)

Data for crystalline BaCr2CuO8 at its relaxed geometry.

Structure (CIF):
```
data_BaCr2CuO8
_cell_length_a 5.0735
_cell_length_b 5.0735
_cell_length_c 22.4195
_cell_angle_alpha 90.00
_cell_angle_beta 90.00
_cell_angle_gamma 120.00
_symmetry_space_group_name_H-M 'R -3'
_symmetry_Int_Tables_number 148
_symmetry_space_group_name_Hall '-R 3'
loop_
_atom_site_label
_atom_site_type_symbol
_atom_site_fract_x
_atom_site_fract_y
_atom_site_fract_z
Ba1 Ba 0.0000 0.0000 0.0000
Cr1 Cr 0.0000 0.0000 0.2419
Cu1 Cu 0.0000 0.0000 0.5000
O1 O 0.0000 0.0000 0.3165
O2 O 0.0091 0.6479 0.8871
```

## Properties
total DFT energy (no corrections)	-233.24	eV for the cell shown
calculated volume	499.8	Å³/cell



[2]
## Ba2CrCu2O6 (GGA+U)

Data for crystalline Ba2CrCu2O6 at its relaxed geometry.

Structure (CIF):
```
data_Ba2CrCu2O6
_cell_length_a 5.8393
_cell_length_b 5.8393
_cell_length_c 16.2723
_cell_angle_alpha 90.00
_cell_angle_beta 90.00
_cell_angle_gamma 120.00
_symmetry_space_group_name_H-M 'R -3 m'
_symmetry_Int_Tables_number 166
_symmetry_space_group_name_Hall '-R 3 2"'
loop_
_atom_site_label
_atom_site_type_symbol
_atom_site_fract_x
_atom_site_fract_y
_atom_site_fract_z
Ba1 Ba 0.0000 0.0000 0.2212
Cr1 Cr 0.0000 0.0000 0.0000
Cu1 Cu 0.0000 0.0000 0.4127
O1 O 0.0291 0.5145 0.7453
```

## Properties
total DFT energy (no corrections)	-200.64	eV for the cell shown
calculated volume	480.5	Å³/cell



[3]
## Ba3CrCu2O6 (GGA+U)

Data for crystalline Ba3CrCu2O6 at its relaxed geometry.

Structure (CIF):
```
data_Ba3CrCu2O6
_cell_length_a 5.9392
_cell_length_b 5.9392
_cell_length_c 6.7738
_cell_angle_alpha 90.00
_cell_angle_beta 90.00
_cell_angle_gamma 120.00
_symmetry_space_group_name_H-M 'P -3 m 1'
_symmetry_Int_Tables_number 164
_symmetry_space_group_name_Hall '-P 3 2"'
loop_
_atom_site_label
_atom_site_type_symbol
_atom_site_fract_x
_atom_site_fract_y
_atom_site_fract_z
Ba1 Ba 0.0000 0.0000 0.0000
Ba2 Ba 0.3333 0.6667 0.6552
Cr1 Cr 0.0000 0.0000 0.5000
Cu1 Cu 0.3333 0.6667 0.2231
O1 O 0.1589 0.3177 0.3166
```

## Properties
total DFT energy (no corrections)	-71.47	eV for the cell shown
calculated volume	206.9	Å³/cell



[4]
## BaCr4Cu3O12 (GGA+U)

Data for crystalline BaCr4Cu3O12 at its relaxed geometry.

Structure (CIF):
```
data_BaCr4Cu3O12
_cell_length_a 7.491
_cell_length_b 7.491
_cell_length_c 7.491
_cell_angle_alpha 90.00
_cell_angle_beta 90.00
_cell_angle_gamma 90.00
_symmetry_space_group_name_H-M 'I m -3'
_symmetry_Int_Tables_number 204
_symmetry_space_group_name_Hall '-I 2 2 3'
loop_
_atom_site_label
_atom_site_type_symbol
_atom_site_fract_x
_atom_site_fract_y
_atom_site_fract_z
Ba1 Ba 0.000 0.000 0.000
Cr1 Cr 0.250 0.250 0.250
Cu1 Cu 0.000 0.000 0.500
O1 O 0.000 0.319 0.175
```

## Properties
total DFT energy (no corrections)	-263.91	eV for the cell shown
calculated volume	420.4	Å³/cell